PuV2: optimized geometry, PBE.

Computed properties:
Formation energy in eV/atom: 0.311
DOS at the Fermi energy in states/eV/cell: 6.329

abc: 2.470 2.470 7.478
angles: 99.51 99.51 90.00
Atoms (fractional coordinates):
Pu1 0.000 0.000 0.000
V1 0.325 0.325 0.651
V2 0.675 0.675 0.349